# BOs PBE optimized geometry
# Raw total energy: -8.660 eV per atom
data_BOs
_chemical_formula_sum 'B16 Os16'
_symmetry_space_group_name_H-M 'F d d d'
_symmetry_Int_Tables_number 70
_cell_length_a 5.480
_cell_length_b 6.969
_cell_length_c 8.732
_cell_angle_alpha 90.00
_cell_angle_beta 90.00
_cell_angle_gamma 90.00
loop_
_symmetry_equiv_pos_as_xyz
'x,y,z'
'-x,-y,-z'
'-x+1/4,-y+1/4,z'
'x+1/4,y+1/4,-z'
'x,-y+1/4,-z+1/4'
'-x,y+1/4,z+1/4'
'-x+1/4,y,-z+1/4'
'x+1/4,-y,z+1/4'
'x,y+1/2,z+1/2'
'-x,-y+1/2,-z+1/2'
'-x+1/4,-y+3/4,z+1/2'
'x+1/4,y+3/4,-z+1/2'
'x,-y+3/4,-z+3/4'
'-x,y+3/4,z+3/4'
'-x+1/4,y+1/2,-z+3/4'
'x+1/4,-y+1/2,z+3/4'
'x+1/2,y,z+1/2'
'-x+1/2,-y,-z+1/2'
'-x+3/4,-y+1/4,z+1/2'
'x+3/4,y+1/4,-z+1/2'
'x+1/2,-y+1/4,-z+3/4'
'-x+1/2,y+1/4,z+3/4'
'-x+3/4,y,-z+3/4'
'x+3/4,-y,z+3/4'
'x+1/2,y+1/2,z'
'-x+1/2,-y+1/2,-z'
'-x+3/4,-y+3/4,z'
'x+3/4,y+3/4,-z'
'x+1/2,-y+3/4,-z+1/4'
'-x+1/2,y+3/4,z+1/4'
'-x+3/4,y+1/2,-z+1/4'
'x+3/4,-y+1/2,z+1/4'
loop_
_atom_site_label
_atom_site_fract_x
_atom_site_fract_y
_atom_site_fract_z
B1 0.042 0.375 0.375
Os1 0.125 0.330 0.625